1.
Compound: Pm3Dy2Ge3
Source: the Alexandria database
Functional: PBE-GGA
Structure: optimized geometry

Cell: 4.041 4.960 20.769 Å, 90.00 90.00 90.00°
Positions (direct):
Pm: 0.000 0.000 0.000
Pm: 0.000 0.500 0.114
Pm: 0.000 0.500 0.886
Pm: 0.500 0.000 0.386
Pm: 0.500 0.000 0.614
Pm: 0.500 0.500 0.500
Dy: 0.000 0.000 0.233
Dy: 0.000 0.000 0.767
Dy: 0.500 0.500 0.267
Dy: 0.500 0.500 0.733
Ge: 0.000 0.000 0.500
Ge: 0.000 0.500 0.369
Ge: 0.000 0.500 0.631
Ge: 0.500 0.000 0.131
Ge: 0.500 0.000 0.869
Ge: 0.500 0.500 0.000

Computed properties:
As for the space group: Immm, No. 71. The crystal system is orthorhombic. The formation energy is -533 meV per atom.

2.
Compound: VNiS3
Source: the Alexandria database
Functional: PBE-GGA
Structure: optimized geometry

Cell: 4.538 4.538 4.538 Å, 90.00 90.00 90.00°
Positions (direct):
V: 0.000 0.000 0.000
Ni: 0.500 0.500 0.500
S: 0.000 0.000 0.500
S: 0.000 0.500 0.000
S: 0.500 0.000 0.000

Computed properties:
As for the space group: Pm-3m, No. 221. The crystal system is cubic. For the energy above the most stable polymorph in this dataset, the calculation gives 910 meV per atom. The formation energy (no corrections) comes out at 305 meV per atom.

3.
Compound: SmTl2Ag2Se4
Source: the Alexandria database
Functional: PBE-GGA
Structure: optimized geometry

Cell: 8.036 8.036 8.086 Å, 108.74 108.74 30.08°
Positions (direct):
Sm: 0.000 0.000 0.000
Tl: 0.130 0.130 0.564
Tl: 0.870 0.870 0.436
Ag: 0.320 0.320 0.012
Ag: 0.680 0.680 0.988
Se: 0.201 0.201 0.205
Se: 0.487 0.487 0.248
Se: 0.513 0.513 0.752
Se: 0.799 0.799 0.795

Computed properties:
As for the space group: C2/m, No. 12. The crystal system is monoclinic. The formation energy (no corrections) comes out at -684 meV per atom.

4.
Compound: TbAl2Ni2Ge
Source: the Alexandria database
Functional: PBE-GGA
Structure: optimized geometry

Cell: 4.369 4.369 5.543 Å, 90.00 90.00 90.00°
Positions (direct):
Tb: 0.000 0.000 0.000
Al: 0.500 0.500 0.243
Al: 0.500 0.500 0.757
Ni: 0.000 0.500 0.500
Ni: 0.500 0.000 0.500
Ge: 0.000 0.000 0.500

Computed properties:
As for the space group: P4/mmm, No. 123. The crystal system is tetragonal. The formation energy is -336 meV per atom.

5.
Compound: IrCl
Source: the Alexandria database
Functional: PBE-GGA
Structure: optimized geometry

Cell: 10.265 10.265 2.867 Å, 90.00 90.00 90.00°
Positions (direct):
Ir: 0.171 0.171 0.000
Ir: 0.171 0.829 0.000
Ir: 0.329 0.329 0.500
Ir: 0.329 0.671 0.500
Ir: 0.671 0.329 0.500
Ir: 0.671 0.671 0.500
Ir: 0.829 0.171 0.000
Ir: 0.829 0.829 0.000
Cl: 0.000 0.312 0.000
Cl: 0.000 0.688 0.000
Cl: 0.188 0.500 0.500
Cl: 0.312 0.000 0.000
Cl: 0.500 0.188 0.500
Cl: 0.500 0.812 0.500
Cl: 0.688 0.000 0.000
Cl: 0.812 0.500 0.500

Computed properties:
As for the space group: I4/mmm, No. 139. The crystal system is tetragonal. For the energy above the most stable polymorph in this dataset, the calculation gives 287 meV per atom. The formation energy (no corrections) comes out at 421 meV per atom.

6.
Compound: CsZr4O8
Source: the Alexandria database
Functional: PBE-GGA
Structure: optimized geometry

Cell: 7.969 7.969 7.969 Å, 92.47 92.47 156.05°
Positions (direct):
Cs: 0.000 0.000 0.000
Zr: 0.154 0.339 0.493
Zr: 0.339 0.846 0.185
Zr: 0.661 0.154 0.815
Zr: 0.846 0.661 0.507
O: 0.036 0.670 0.706
O: 0.293 0.658 0.951
O: 0.330 0.036 0.366
O: 0.342 0.293 0.634
O: 0.658 0.707 0.366
O: 0.670 0.964 0.634
O: 0.707 0.342 0.049
O: 0.964 0.330 0.294

Computed properties:
As for the space group: I4/m, No. 87. The crystal system is tetragonal. The formation energy (no corrections) comes out at -3031 meV per atom.

7.
Compound: CaAuS2Br
Source: the Alexandria database
Functional: PBE-GGA
Structure: optimized geometry

Cell: 4.858 4.858 5.702 Å, 90.00 90.00 90.00°
Positions (direct):
Ca: 0.000 0.000 0.000
Au: 0.500 0.500 0.000
S: 0.000 0.500 0.500
S: 0.500 0.000 0.500
Br: 0.000 0.000 0.500

Computed properties:
As for the space group: P4/mmm, No. 123. The crystal system is tetragonal. The formation energy (no corrections) comes out at 326 meV per atom.

8.
Compound: NaHg2Pb6
Source: the Alexandria database
Functional: PBE-GGA
Structure: optimized geometry

Cell: 6.553 6.553 9.674 Å, 121.22 121.22 52.23°
Positions (direct):
Na: 0.000 0.000 0.000
Hg: 0.443 0.443 0.778
Hg: 0.557 0.557 0.222
Pb: 0.115 0.115 0.449
Pb: 0.234 0.234 0.892
Pb: 0.340 0.340 0.332
Pb: 0.660 0.660 0.668
Pb: 0.766 0.766 0.108
Pb: 0.885 0.885 0.551

Computed properties:
As for the space group: C2/m, No. 12. The crystal system is monoclinic. For the energy above the most stable polymorph in this dataset, the calculation gives 0 meV per atom. The formation energy is -30 meV per atom.

9.
Compound: CeDy4Pu3Se8
Source: the Alexandria database
Functional: PBE-GGA
Structure: optimized geometry

Cell: 8.287 8.287 8.287 Å, 59.26 59.26 59.26°
Positions (direct):
Ce: 0.000 0.000 0.000
Dy: 0.000 0.000 0.500
Dy: 0.000 0.500 0.000
Dy: 0.500 0.000 0.000
Dy: 0.500 0.500 0.500
Pu: 0.000 0.500 0.500
Pu: 0.500 0.000 0.500
Pu: 0.500 0.500 0.000
Se: 0.248 0.248 0.248
Se: 0.250 0.746 0.746
Se: 0.254 0.254 0.750
Se: 0.254 0.750 0.254
Se: 0.746 0.250 0.746
Se: 0.746 0.746 0.250
Se: 0.750 0.254 0.254
Se: 0.752 0.752 0.752

Computed properties:
As for the space group: R-3m, No. 166. The crystal system is trigonal. The formation energy (no corrections) comes out at -1710 meV per atom.

10.
Compound: CsCe2Ag2S6
Source: the Alexandria database
Functional: PBE-GGA
Structure: optimized geometry

Cell: 7.027 7.507 7.768 Å, 99.41 115.79 109.57°
Positions (direct):
Cs: 0.000 0.000 0.000
Ce: 0.368 0.686 0.356
Ce: 0.632 0.314 0.644
Ag: 0.216 0.643 0.721
Ag: 0.784 0.357 0.279
S: 0.126 0.458 0.932
S: 0.238 0.372 0.483
S: 0.430 0.955 0.679
S: 0.570 0.045 0.321
S: 0.762 0.628 0.517
S: 0.874 0.542 0.068

Computed properties:
As for the space group: P-1, No. 2. The crystal system is triclinic. The formation energy (no corrections) comes out at -1070 meV per atom.

11.
Compound: ErNpNiS4
Source: the Alexandria database
Functional: PBE-GGA
Structure: optimized geometry

Cell: 6.414 5.639 7.601 Å, 90.00 106.33 90.00°
Positions (direct):
Er: 0.234 0.250 0.433
Er: 0.766 0.750 0.567
Np: 0.255 0.250 0.940
Np: 0.745 0.750 0.060
Ni: 0.259 0.750 0.176
Ni: 0.741 0.250 0.824
S: 0.068 0.750 0.384
S: 0.071 0.750 0.890
S: 0.485 0.511 0.742
S: 0.485 0.989 0.742
S: 0.515 0.011 0.258
S: 0.515 0.489 0.258
S: 0.929 0.250 0.110
S: 0.932 0.250 0.616

Computed properties:
As for the space group: P2_1/m, No. 11. The crystal system is monoclinic. The formation energy (no corrections) comes out at -1289 meV per atom.

12.
Compound: CaCeEu2
Source: the Alexandria database
Functional: PBE-GGA
Structure: optimized geometry

Cell: 6.155 6.155 4.114 Å, 90.00 90.00 90.00°
Positions (direct):
Ca: 0.000 0.000 0.000
Ce: 0.500 0.500 0.000
Eu: 0.000 0.500 0.500
Eu: 0.500 0.000 0.500

Computed properties:
As for the space group: P4/mmm, No. 123. The crystal system is tetragonal. For the energy above the most stable polymorph in this dataset, the calculation gives 51 meV per atom. The formation energy is 191 meV per atom.

13.
Compound: PmTlF2
Source: the Alexandria database
Functional: PBE-GGA
Structure: optimized geometry

Cell: 4.040 4.040 22.825 Å, 90.00 90.00 120.00°
Positions (direct):
Pm: 0.000 0.000 0.000
Pm: 0.333 0.667 0.667
Pm: 0.667 0.333 0.333
Tl: 0.000 0.000 0.500
Tl: 0.333 0.667 0.167
Tl: 0.667 0.333 0.833
F: 0.000 0.000 0.098
F: 0.000 0.000 0.902
F: 0.333 0.667 0.569
F: 0.333 0.667 0.764
F: 0.667 0.333 0.236
F: 0.667 0.333 0.431

Computed properties:
As for the space group: R-3m, No. 166. The crystal system is trigonal. The formation energy (no corrections) comes out at -2078 meV per atom.

14.
Compound: MnTePb2
Source: the Alexandria database
Functional: PBE-GGA
Structure: optimized geometry

Cell: 4.950 4.961 8.687 Å, 90.00 90.00 90.00°
Positions (direct):
Mn: 0.000 0.000 0.000
Mn: 0.500 0.500 0.000
Te: 0.000 0.500 0.151
Te: 0.500 0.000 0.151
Pb: 0.000 0.000 0.465
Pb: 0.000 0.500 0.760
Pb: 0.500 0.000 0.760
Pb: 0.500 0.500 0.465

Computed properties:
As for the space group: Cmm2, No. 35. The crystal system is orthorhombic. The formation energy (no corrections) comes out at 138 meV per atom.

15.
Compound: AcGa12Ge4
Source: the Alexandria database
Functional: PBE-GGA
Structure: optimized geometry

Cell: 7.788 7.788 7.788 Å, 109.47 109.47 109.47°
Positions (direct):
Ac: 0.000 0.000 0.000
Ga: 0.146 0.359 0.505
Ga: 0.146 0.641 0.787
Ga: 0.213 0.854 0.359
Ga: 0.359 0.213 0.854
Ga: 0.359 0.505 0.146
Ga: 0.495 0.854 0.641
Ga: 0.505 0.146 0.359
Ga: 0.641 0.495 0.854
Ga: 0.641 0.787 0.146
Ga: 0.787 0.146 0.641
Ga: 0.854 0.359 0.213
Ga: 0.854 0.641 0.495
Ge: 0.000 0.000 0.500
Ge: 0.000 0.500 0.000
Ge: 0.500 0.000 0.000
Ge: 0.500 0.500 0.500

Computed properties:
As for the space group: Im-3, No. 204. The crystal system is cubic. The formation energy is -64 meV per atom.

16.
Compound: Mo3Pb
Source: the Alexandria database
Functional: PBE-GGA
Structure: optimized geometry

Cell: 3.091 4.078 5.839 Å, 90.00 90.00 90.00°
Positions (direct):
Mo: 0.000 0.000 0.000
Mo: 0.500 0.500 0.202
Mo: 0.500 0.500 0.798
Pb: 0.000 0.000 0.500

Computed properties:
As for the space group: Pmmm, No. 47. The crystal system is orthorhombic. The formation energy is 485 meV per atom.

17.
Compound: MoPdSeN2
Source: the Alexandria database
Functional: PBE-GGA
Structure: optimized geometry

Cell: 3.879 3.879 5.035 Å, 90.00 90.00 90.00°
Positions (direct):
Mo: 0.000 0.000 0.000
Pd: 0.500 0.500 0.500
Se: 0.500 0.500 0.000
N: 0.000 0.500 0.500
N: 0.500 0.000 0.500

Computed properties:
As for the space group: P4/mmm, No. 123. The crystal system is tetragonal. For the energy above the most stable polymorph in this dataset, the calculation gives 1273 meV per atom. The formation energy (no corrections) comes out at 1794 meV per atom.

18.
Compound: AlBSbTe2
Source: the Alexandria database
Functional: PBE-GGA
Structure: optimized geometry

Cell: 5.352 5.352 5.203 Å, 90.00 90.00 90.00°
Positions (direct):
Al: 0.000 0.000 0.000
B: 0.500 0.500 0.500
Sb: 0.000 0.000 0.500
Te: 0.000 0.500 0.000
Te: 0.500 0.000 0.000

Computed properties:
As for the space group: P4/mmm, No. 123. The crystal system is tetragonal. For the energy above the most stable polymorph in this dataset, the calculation gives 524 meV per atom. The formation energy (no corrections) comes out at 1224 meV per atom.

19.
Compound: Zr2TaHg
Source: the Alexandria database
Functional: PBE-GGA
Structure: optimized geometry

Cell: 5.127 5.127 3.212 Å, 90.00 90.00 90.00°
Positions (direct):
Zr: 0.000 0.500 0.000
Zr: 0.500 0.000 0.000
Ta: 0.000 0.000 0.500
Hg: 0.500 0.500 0.500

Computed properties:
As for the space group: P4/mmm, No. 123. The crystal system is tetragonal. The formation energy is 50 meV per atom.

20.
Compound: V2CoCu
Source: the Alexandria database
Functional: PBE-GGA
Structure: optimized geometry

Cell: 5.862 5.862 5.862 Å, 90.00 90.00 90.00°
Positions (direct):
V: 0.250 0.250 0.250
V: 0.250 0.250 0.750
V: 0.250 0.750 0.250
V: 0.250 0.750 0.750
V: 0.750 0.250 0.250
V: 0.750 0.250 0.750
V: 0.750 0.750 0.250
V: 0.750 0.750 0.750
Co: 0.000 0.000 0.000
Co: 0.000 0.500 0.500
Co: 0.500 0.000 0.500
Co: 0.500 0.500 0.000
Cu: 0.000 0.000 0.500
Cu: 0.000 0.500 0.000
Cu: 0.500 0.000 0.000
Cu: 0.500 0.500 0.500

Computed properties:
As for the space group: Fm-3m, No. 225. The crystal system is cubic. The formation energy is 131 meV per atom.

21.
Compound: Cs3Ac3SmTe8
Source: the Alexandria database
Functional: PBE-GGA
Structure: optimized geometry

Cell: 9.615 9.615 10.697 Å, 116.78 116.78 59.95°
Positions (direct):
Cs: 0.000 0.000 0.000
Cs: 0.000 0.500 0.000
Cs: 0.500 0.000 0.000
Ac: 0.000 0.500 0.500
Ac: 0.500 0.000 0.500
Ac: 0.500 0.500 0.500
Sm: 0.000 0.000 0.500
Te: 0.224 0.224 0.693
Te: 0.224 0.746 0.693
Te: 0.254 0.776 0.307
Te: 0.265 0.265 0.296
Te: 0.735 0.735 0.704
Te: 0.746 0.224 0.693
Te: 0.776 0.254 0.307
Te: 0.776 0.776 0.307

Computed properties:
As for the space group: C2/m, No. 12. The crystal system is monoclinic. The formation energy (no corrections) comes out at -1386 meV per atom.

22.
Compound: Ba5ErO6
Source: the Alexandria database
Functional: PBE-GGA
Structure: optimized geometry

Cell: 6.690 6.690 6.633 Å, 99.53 99.53 120.13°
Positions (direct):
Ba: 0.000 0.000 0.000
Ba: 0.168 0.832 0.500
Ba: 0.336 0.664 0.000
Ba: 0.664 0.336 0.000
Ba: 0.832 0.168 0.500
Er: 0.500 0.500 0.500
O: 0.141 0.427 0.282
O: 0.288 0.288 0.726
O: 0.427 0.141 0.282
O: 0.573 0.859 0.718
O: 0.712 0.712 0.274
O: 0.859 0.573 0.718

Computed properties:
As for the space group: C2/m, No. 12. The crystal system is monoclinic. The formation energy (no corrections) comes out at -2568 meV per atom.

23.
Compound: PaTi3
Source: the Alexandria database
Functional: PBE-GGA
Structure: optimized geometry

Cell: 6.678 6.678 6.678 Å, 90.00 90.00 90.00°
Positions (direct):
Pa: 0.000 0.000 0.000
Pa: 0.000 0.500 0.500
Pa: 0.500 0.000 0.500
Pa: 0.500 0.500 0.000
Ti: 0.000 0.000 0.500
Ti: 0.000 0.500 0.000
Ti: 0.250 0.250 0.250
Ti: 0.250 0.250 0.750
Ti: 0.250 0.750 0.250
Ti: 0.250 0.750 0.750
Ti: 0.500 0.000 0.000
Ti: 0.500 0.500 0.500
Ti: 0.750 0.250 0.250
Ti: 0.750 0.250 0.750
Ti: 0.750 0.750 0.250
Ti: 0.750 0.750 0.750

Computed properties:
As for the space group: Fm-3m, No. 225. The crystal system is cubic. For the energy above the most stable polymorph in this dataset, the calculation gives 0 meV per atom. The formation energy is 48 meV per atom.

24.
Compound: Th4MnTl
Source: the Alexandria database
Functional: PBE-GGA
Structure: optimized geometry

Cell: 7.852 7.852 6.124 Å, 100.41 100.41 110.44°
Positions (direct):
Th: 0.055 0.716 0.940
Th: 0.185 0.370 0.632
Th: 0.284 0.945 0.560
Th: 0.370 0.185 0.132
Th: 0.630 0.815 0.868
Th: 0.716 0.055 0.440
Th: 0.815 0.630 0.368
Th: 0.945 0.284 0.060
Mn: 0.004 0.996 0.250
Mn: 0.996 0.004 0.750
Tl: 0.386 0.614 0.250
Tl: 0.614 0.386 0.750

Computed properties:
As for the space group: C2/c, No. 15. The crystal system is monoclinic. The formation energy is -9 meV per atom.